# Tb4BiSb3 (PBE, relaxed)
data_Tb4BiSb3
_space_group_name_H-M_alt 'P m -3 m'
_space_group_IT_number 221
_space_group_name_Hall '-P 4 2 3'
_cell_length_a 6.251
_cell_length_b 6.251
_cell_length_c 6.251
_cell_angle_alpha 90.00
_cell_angle_beta 90.00
_cell_angle_gamma 90.00
loop_
_atom_site_label
_atom_site_fract_x
_atom_site_fract_y
_atom_site_fract_z
Tb1 0.000 0.000 0.000
Tb2 0.000 0.500 0.500
Bi1 0.500 0.500 0.500
Sb1 0.000 0.000 0.500
# Uncorrected energy: -43.44 eV per cell
# Uncorrected formation energy: -104.6 kJ/mol of atoms
# Magnetization: 0.000 μB/atom